Compound: Rb2TaCoO5
Source: the Alexandria database
Functional: PBE with a Hubbard U
Structure: relaxed

- Raw total energy: -6.686 eV/atom
- ρ: 5000 kg/m³

Unit cell a=3.275 b=8.055 c=12.622 alpha=90.00 beta=90.00 gamma=101.73
Atoms (fractional coordinates):
Co  0.585  0.171  0.904
Co  0.415  0.829  0.404
O  0.676  0.353  0.533
O  0.311  0.621  0.638
O  0.918  0.836  0.481
O  0.324  0.647  0.033
O  0.082  0.164  0.981
O  0.492  0.985  0.310
O  0.508  0.015  0.810
O  0.703  0.405  0.935
O  0.297  0.595  0.435
O  0.689  0.379  0.138
Ta  0.791  0.583  0.545
Ta  0.209  0.417  0.045
Rb  0.866  0.733  0.841
Rb  0.946  0.892  0.137
Rb  0.134  0.267  0.341
Rb  0.054  0.108  0.637